# 1
DFT (PBE) results for a geometry-optimized BiPd2I structure.

Formation energy from raw total energies (eV/atom): 0.076
Spin magnetization (μB/atom): 0.00
Electronic total energy (eV per atom): -3.8782
Crystal system: cubic
Energy above the lowest structure with this stoichiometry (eV/atom): 0.182

a = 4.9928 Å, b = 4.9928 Å, c = 4.9928 Å
α = 60.00°, β = 60.00°, γ = 60.00°
Positions (direct):
1 Bi 0.0000 0.0000 0.0000
2 Pd 0.2500 0.2500 0.2500
3 Pd 0.7500 0.7500 0.7500
4 I 0.5000 0.5000 0.5000

---

# 2
DFT (PBE) results for a geometry-optimized BiPd2I8 structure.

Formation energy from raw total energies (eV/atom): 0.003
Spin magnetization (μB/atom): 0.00
Electronic total energy (eV per atom): -2.4216
Crystal system: trigonal

a = 8.6528 Å, b = 8.6528 Å, c = 8.1888 Å
α = 90.00°, β = 90.00°, γ = 120.00°
Positions (direct):
1 Bi 0.0000 0.0000 0.0000
2 Pd 0.3333 0.6667 0.2658
3 Pd 0.6667 0.3333 0.7342
4 I 0.1562 0.3123 0.2485
5 I 0.1562 0.8438 0.2485
6 I 0.3123 0.1562 0.7515
7 I 0.3333 0.6667 0.5813
8 I 0.6667 0.3333 0.4187
9 I 0.6877 0.8438 0.2485
10 I 0.8438 0.1562 0.7515
11 I 0.8438 0.6877 0.7515

---

# 3
DFT (PBE) results for a geometry-optimized Bi3PdI structure.

Formation energy from raw total energies (eV/atom): 0.290
Spin magnetization (μB/atom): 0.00
Electronic total energy (eV per atom): -3.3874
Crystal system: cubic
Energy above the lowest structure with this stoichiometry (eV/atom): 0.359

a = 5.4825 Å, b = 5.4825 Å, c = 5.4825 Å
α = 90.00°, β = 90.00°, γ = 90.00°
Positions (direct):
1 Bi 0.0000 0.0000 0.5000
2 Bi 0.0000 0.5000 0.0000
3 Bi 0.5000 0.0000 0.0000
4 Pd 0.0000 0.0000 0.0000
5 I 0.5000 0.5000 0.5000

---

- Which value of spin magnetization does entry 2 give?
  0.00 μB/atom

---

- Which of these has the lowest electronic total energy?
  BiPd2I